Entry 1:
PBE Al2TlPt2, optimized geometry; density of states at the Fermi level = 1.6 states/eV/f.u.; symmetry = P4/mbm, No. 127; energy above the lowest structure with this stoichiometry = 0.0830 eV per atom; ΔH_f (0 K) = -0.5506 eV/atom; uncorrected energy = -4.937 eV per atom
1.0
-4.807 4.208 4.429
-4.755 -6.116 0.649
1.421 -0.854 2.354
Tl Al Pt
2 4 4
direct
0.000 0.000 0.000 Tl
0.500 0.500 0.000 Tl
0.359 0.859 0.000 Al
0.859 0.641 0.000 Al
0.641 0.141 0.000 Al
0.141 0.359 0.000 Al
0.147 0.647 0.500 Pt
0.647 0.853 0.500 Pt
0.853 0.353 0.500 Pt
0.353 0.147 0.500 Pt

=====

Entry 2:
PBE In2PAu, optimized geometry; density of states at the Fermi level = 1.1 states/eV/f.u.; symmetry = P1, No. 1; ΔH_f (0 K) = -0.0699 eV/atom; uncorrected energy = -3.611 eV per atom
1.0
4.044 0.002 0.011
1.408 6.487 0.040
1.349 2.885 7.486
In P Au
4 2 2
direct
0.428 0.962 0.541 In
0.918 0.396 0.129 In
0.749 0.401 0.731 In
0.791 0.943 0.009 In
0.323 0.359 0.550 P
0.992 0.977 0.330 P
0.412 0.686 0.893 Au
0.307 0.644 0.256 Au

=====

Entry 3:
PBE Tb2USbN5, optimized geometry; density of states at the Fermi level = 2.6 states/eV/f.u.; symmetry = Cmc2_1, No. 36; E_form (uncorrected) = -853 meV per atom; uncorrected energy = -8.220 eV per atom
1.0
-2.056 2.695 0.830
0.361 -3.814 5.946
9.123 5.953 3.264
Tb U Sb N
4 2 2 10
direct
0.877 0.755 0.757 Tb
0.114 0.229 0.685 Tb
0.123 0.245 0.257 Tb
0.886 0.771 0.185 Tb
0.777 0.554 0.493 U
0.223 0.446 0.993 U
0.519 0.038 0.978 Sb
0.481 0.962 0.478 Sb
0.375 0.750 0.045 N
0.734 0.468 0.874 N
0.488 0.976 0.794 N
0.283 0.566 0.617 N
0.962 0.924 0.581 N
0.625 0.250 0.545 N
0.266 0.532 0.374 N
0.512 0.024 0.294 N
0.717 0.434 0.117 N
0.038 0.076 0.081 N

=====

Entry 4:
PBE GeSbAu2, optimized geometry; density of states at the Fermi level = 1.4 states/eV/f.u.; symmetry = Pmmn, No. 59; energy above the lowest structure with this stoichiometry = 0.0018 eV per atom; E_form (uncorrected) = 7 meV per atom; uncorrected energy = -3.817 eV per atom
1.0
4.282 0.000 0.000
0.000 5.634 0.000
0.000 0.000 7.419
Ge Sb Au
2 2 4
direct
0.750 0.250 0.083 Ge
0.250 0.750 0.917 Ge
0.250 0.250 0.587 Sb
0.750 0.750 0.413 Sb
0.250 0.497 0.231 Au
0.750 0.503 0.769 Au
0.750 0.997 0.769 Au
0.250 0.003 0.231 Au